{"formula": "CsKTl2I4", "functional": "PBE-GGA", "state": "relaxed", "cell": [[-0.3416, -5.1607, 0.0474], [7.4789, -0.4502, 4.8861], [-2.1008, 0.2191, 8.7151]], "species": ["I", "I", "I", "I", "Tl", "Tl", "Cs", "K"], "fractional_positions": [[0.5000, 0.7594, 0.2569], [0.5000, 0.2406, 0.7431], [0.0000, 0.2330, 0.2670], [0.0000, 0.7670, 0.7330], [0.0000, 0.0000, 0.0000], [0.5000, 0.0000, 0.5000], [0.5000, 0.5000, 0.0000], [0.0000, 0.5000, 0.5000]], "raw_formation_energy_ev_per_atom": -1.0771, "dos_at_fermi_per_ev_cell": 0.000}